A relaxed structure of Tm3ThSe4, computed with PBE-GGA.

Calculated values
Calculated total energy = -95.48 eV for the cell shown
Calculated density = 9.2 g/cm3
E_form (uncorrected) = -1.621 eV per atom
Polymorph energy (0 for the lowest one) = 0 meV per atom

abc: 3.9890 3.9890 27.6521
angles: 90.00 90.00 120.00
Closest atoms and distances in Å follow each position.
Element x y z (fractional)
Se1 0.3333 0.6667 0.0601  6 Tm 2.84-2.85
Se2 0.6667 0.3333 0.9399  6 Tm 2.84-2.85
Se3 0.6667 0.3333 0.5601  6 Tm 2.84-2.85
Tm1 0.0000 0.0000 0.5000  6 Se 2.84
Se4 0.0000 0.0000 0.1797  3 Tm 2.82, 3 Th 3.01
Th1 0.6667 0.3333 0.7500  6 Se 3.01
Se5 0.0000 0.0000 0.3203  3 Tm 2.82, 3 Th 3.01
Se6 0.3333 0.6667 0.4399  6 Tm 2.84-2.85
Th2 0.3333 0.6667 0.2500  6 Se 3.01
Se7 0.0000 0.0000 0.8203  3 Tm 2.82, 3 Th 3.01
Tm2 0.6667 0.3333 0.3792  6 Se 2.82-2.85
Tm3 0.3333 0.6667 0.6208  6 Se 2.82-2.85
Tm4 0.6667 0.3333 0.1208  6 Se 2.82-2.85
Se8 0.0000 0.0000 0.6797  3 Tm 2.82, 3 Th 3.01
Tm5 0.0000 0.0000 0.0000  6 Se 2.84
Tm6 0.3333 0.6667 0.8792  6 Se 2.82-2.85